# 1
A plane-wave DFT calculation with PBEsol was carried out for CdFeTc2 after structural relaxation.

a b c (Å): 3.172 4.365 4.965
angles (deg): 116.08 108.63 90.00
Each line ends with the local moment (μB).
Element x y z (fractional)
1 Tc 0.995 0.995 0.991  -0.03
2 Tc 0.734 0.234 0.469  -0.03
3 Cd 0.508 0.508 0.015  -0.02
4 Fe 0.263 0.763 0.525  2.36

E_form (eV/atom): 0.442

# 2
A plane-wave DFT calculation with PBEsol was carried out for CdFe3Te after structural relaxation.

a b c (Å): 4.627 4.627 4.627
angles (deg): 90.00 90.00 90.00
Each line ends with the local moment (μB).
Element x y z (fractional)
1 Te 0.000 0.000 0.000  -0.06
2 Fe 0.000 0.000 0.500  2.31
3 Fe 0.000 0.500 0.000  2.31
4 Fe 0.500 0.000 0.000  2.31
5 Cd 0.500 0.500 0.500  -0.08

E above lowest polymorph (eV per atom): 0.0000
Formation energy (no corrections) (eV/atom): 1.1443

# 3
A plane-wave DFT calculation with PBEsol was carried out for CdFe2Te after structural relaxation.

a b c (Å): 2.961 4.419 6.006
angles (deg): 111.59 104.27 90.00
Each line ends with the local moment (μB).
Element x y z (fractional)
1 Te 0.452 0.452 0.904  -0.01
2 Fe 0.746 0.246 0.491  2.11
3 Fe 0.072 0.072 0.145  2.66
4 Cd 0.230 0.730 0.460  -0.04

E above lowest polymorph (eV per atom): 0.1389
Formation energy (no corrections) (eV/atom): 0.3850

# 4
A plane-wave DFT calculation with PBEsol was carried out for CdFe2Te after structural relaxation.

a b c (Å): 3.070 3.070 8.270
angles (deg): 79.30 79.30 60.00
Each line ends with the local moment (μB).
Element x y z (fractional)
1 Fe 0.246 0.246 0.262  2.28
2 Fe 0.754 0.754 0.738  2.28
3 Te 0.500 0.500 0.500  -0.07
4 Cd 0.000 0.000 0.000  -0.04

E above lowest polymorph (eV per atom): 0.2649
Formation energy (no corrections) (eV/atom): 0.5109

# 5
A plane-wave DFT calculation with PBEsol was carried out for CdFe2Te after structural relaxation.

a b c (Å): 3.106 3.106 7.299
angles (deg): 90.00 90.00 90.00
Each line ends with the local moment (μB).
Element x y z (fractional)
1 Fe 0.000 0.000 0.048  2.45
2 Fe 0.500 0.500 0.212  2.02
3 Cd 0.500 0.500 0.824  -0.06
4 Te 0.000 0.000 0.415  -0.06

E above lowest polymorph (eV per atom): 0.0000
Formation energy (no corrections) (eV/atom): 0.2460

# 6
A plane-wave DFT calculation with PBEsol was carried out for CdFeTe after structural relaxation.

a b c (Å): 3.878 4.273 4.273
angles (deg): 120.00 90.00 90.00
Each line ends with the local moment (μB).
Element x y z (fractional)
1 Cd 0.996 0.000 0.000  -0.05
2 Fe 0.510 0.667 0.333  2.19
3 Te 0.494 0.333 0.667  0.01

Formation energy (no corrections) (eV/atom): 0.3755

# 7
A plane-wave DFT calculation with PBEsol was carried out for TiCdFe3 after structural relaxation.

a b c (Å): 4.621 4.621 4.621
angles (deg): 90.00 90.00 90.00
Each line ends with the local moment (μB).
Element x y z (fractional)
1 Fe 0.500 0.000 0.000  2.90
2 Fe 0.000 0.500 0.000  2.90
3 Fe 0.000 0.000 0.500  2.90
4 Cd 0.000 0.000 0.000  -0.05
5 Ti 0.500 0.500 0.500  -1.56

E_form (eV/atom): 1.724

# 8
A plane-wave DFT calculation with PBEsol was carried out for Tl2CdFe after structural relaxation.

a b c (Å): 3.105 5.010 5.534
angles (deg): 90.00 90.00 90.00
Each line ends with the local moment (μB).
Element x y z (fractional)
1 Cd 0.500 0.500 0.000  -0.02
2 Tl 0.000 0.000 0.000  0.00
3 Tl 0.500 0.000 0.500  -0.03
4 Fe 0.000 0.500 0.500  2.92

E_form (eV/atom): 0.555

no.,M_tot (μB/f.u.),D(E_F) (states/eV/f.u.)
1,2.28,3.87
2,6.59,5.88
3,4.71,3.12
4,4.34,3.29
5,4.24,2.80
6,2.13,2.76
7,6.43,6.85
8,2.80,3.21